[1]
Entry from Alexandria: a PBEsol-optimized structure of YCrCl4 (meta-GGA SCAN).

a = 5.7159 Å, b = 5.7159 Å, c = 5.7159 Å
α = 60.00°, β = 60.00°, γ = 60.00°
Closest atoms and distances in Å follow each position.
Sites, in units of the cell vectors:
Y 0.0000 0.0000 0.0000  12 Cl 3.35, 4 Cr 3.50
Cr 0.7500 0.7500 0.7500  12 Cl 3.35, 4 Y 3.50
Cl 0.3751 0.3751 0.3751  6 Cl 2.86
Cl 0.3751 0.3751 0.8747  6 Cl 2.86
Cl 0.3751 0.8747 0.3751  6 Cl 2.86
Cl 0.8747 0.3751 0.3751  6 Cl 2.86

Raw total energy (eV per atom): -13.24
SG: F-43m (216)
D(E_F) (states/eV per cell): 4.2
Spin magnetization (Bohr magnetons per cell): 6.80

---

[2]
Entry from Alexandria: a PBEsol-optimized structure of ZnCrCl (meta-GGA SCAN).

a = 4.5211 Å, b = 4.5211 Å, c = 4.5211 Å
α = 60.00°, β = 60.00°, γ = 60.00°
Closest atoms and distances in Å follow each position.
Sites, in units of the cell vectors:
Zn 0.0000 0.0000 0.0000  4 Cl 2.77, 4 Cr 2.77
Cr 0.2500 0.2500 0.2500  4 Zn 2.77
Cl 0.7500 0.7500 0.7500  4 Zn 2.77

Excess energy over the best structure of this formula in the dataset (eV/f.u.): 0.94
SG: F-43m (216)
D(E_F) (states/eV per cell): 0.2
Spin magnetization (Bohr magnetons per cell): 5.00

---

[3]
Entry from Alexandria: a PBEsol-optimized structure of ZnCrCl (meta-GGA SCAN).

a = 4.4335 Å, b = 4.4335 Å, c = 4.4335 Å
α = 60.00°, β = 60.00°, γ = 60.00°
Closest atoms and distances in Å follow each position.
Sites, in units of the cell vectors:
Zn 0.0000 0.0000 0.0000  4 Cr 2.71
Cr 0.7500 0.7500 0.7500  4 Cl 2.71, 4 Zn 2.71
Cl 0.5000 0.5000 0.5000  4 Cr 2.71

Excess energy over the best structure of this formula in the dataset (eV/f.u.): 0.00
SG: F-43m (216)
D(E_F) (states/eV per cell): 0.4
Spin magnetization (Bohr magnetons per cell): 4.99

---

[4]
Entry from Alexandria: a PBEsol-optimized structure of ZrCr4Cl (meta-GGA SCAN).

a = 4.8919 Å, b = 4.8919 Å, c = 4.8919 Å
α = 60.00°, β = 60.00°, γ = 60.00°
Closest atoms and distances in Å follow each position.
Sites, in units of the cell vectors:
Zr 0.0000 0.0000 0.0000  12 Cr 2.87, 4 Cl 3.00
Cr 0.1270 0.6243 0.6243  6 Cr 2.43-2.46
Cr 0.6243 0.1270 0.6243  6 Cr 2.43-2.46
Cr 0.6243 0.6243 0.1270  6 Cr 2.43-2.46
Cr 0.6243 0.6243 0.6243  6 Cr 2.43-2.46
Cl 0.2500 0.2500 0.2500  12 Cr 2.87, 4 Zr 3.00

Raw total energy (eV per atom): -17.99
SG: F-43m (216)
D(E_F) (states/eV per cell): 5.4
Spin magnetization (Bohr magnetons per cell): 0.00

---

[5]
Entry from Alexandria: a PBEsol-optimized structure of CsCl2 (meta-GGA SCAN).

a = 10.6050 Å, b = 10.6050 Å, c = 4.6959 Å
α = 101.13°, β = 101.13°, γ = 25.59°
Closest atoms and distances in Å follow each position.
Sites, in units of the cell vectors:
Cs 0.1469 0.1469 0.1651  7 Cl 3.40-3.75
Cs 0.8531 0.8531 0.8349  7 Cl 3.40-3.75
Cl 0.3148 0.3148 0.3005  1 Cl 2.67
Cl 0.4462 0.4462 0.4399  1 Cl 2.19
Cl 0.5538 0.5538 0.5601  1 Cl 2.19
Cl 0.6852 0.6852 0.6995  1 Cl 2.67

Raw total energy (eV per atom): -19.42
SG: C2/m (12)
D(E_F) (states/eV per cell): 0.0
Spin magnetization (Bohr magnetons per cell): 0.00

---

[6]
Entry from Alexandria: a PBEsol-optimized structure of Cs2CuCl4 (meta-GGA SCAN).

a = 9.7054 Å, b = 7.4776 Å, c = 12.1520 Å
α = 90.00°, β = 90.00°, γ = 90.00°
Closest atoms and distances in Å follow each position.
Sites, in units of the cell vectors:
Cs 0.0121 0.2500 0.1711  9 Cl 3.41-3.79, 1 Cu 3.73
Cs 0.1318 0.2500 0.6041  9 Cl 3.50-3.92, 1 Cu 3.91
Cs 0.3682 0.7500 0.1041  9 Cl 3.50-3.92, 1 Cu 3.91
Cs 0.4879 0.7500 0.6711  9 Cl 3.41-3.79, 1 Cu 3.73
Cs 0.5121 0.2500 0.3289  9 Cl 3.41-3.79, 1 Cu 3.73
Cs 0.6318 0.2500 0.8959  9 Cl 3.50-3.92, 1 Cu 3.91
Cs 0.8682 0.7500 0.3959  9 Cl 3.50-3.92, 1 Cu 3.91
Cs 0.9879 0.7500 0.8289  9 Cl 3.41-3.79, 1 Cu 3.73
Cu 0.2303 0.2500 0.9185  4 Cl 2.21-2.24
Cu 0.2697 0.7500 0.4185  4 Cl 2.21-2.24
Cu 0.7303 0.2500 0.5815  4 Cl 2.21-2.24
Cu 0.7697 0.7500 0.0815  4 Cl 2.21-2.24
Cl 0.0058 0.2500 0.8762  1 Cu 2.24
Cl 0.1501 0.7500 0.5754  1 Cu 2.23
Cl 0.2113 0.0189 0.3591  1 Cu 2.21
Cl 0.2113 0.4811 0.3591  1 Cu 2.21
Cl 0.2887 0.5189 0.8591  1 Cu 2.21
Cl 0.2887 0.9811 0.8591  1 Cu 2.21
Cl 0.3499 0.2500 0.0754  1 Cu 2.23
Cl 0.4942 0.7500 0.3762  1 Cu 2.24
Cl 0.5058 0.2500 0.6238  1 Cu 2.24
Cl 0.6501 0.7500 0.9246  1 Cu 2.23
Cl 0.7113 0.0189 0.1409  1 Cu 2.21
Cl 0.7113 0.4811 0.1409  1 Cu 2.21
Cl 0.7887 0.5189 0.6409  1 Cu 2.21
Cl 0.7887 0.9811 0.6409  1 Cu 2.21
Cl 0.8499 0.2500 0.4246  1 Cu 2.23
Cl 0.9942 0.7500 0.1238  1 Cu 2.24

Raw total energy (eV per atom): -19.13
SG: Pnma (62)
Spin magnetization (Bohr magnetons per cell): 4.13